# 1
This record from Alexandria via LeMat-Bulk describes a relaxed structure of Pm2Zn2Ru. The functional is PBE-GGA.

abc: 5.7398 5.7398 11.2288
angles: 109.47 109.47 40.65
Closest atoms and distances in Å follow each position.
Atoms (fractional coordinates):
Pm 0.0027 0.0027 0.3380  3 Ru 2.97-3.22, 7 Zn 3.16-3.32
Pm 0.1963 0.1963 0.1267  2 Ru 2.88, 3 Zn 3.04-3.10
Pm 0.8037 0.8037 0.8733  2 Ru 2.88, 3 Zn 3.04-3.10
Pm 0.9973 0.9973 0.6620  3 Ru 2.97-3.22, 7 Zn 3.16-3.32
Zn 0.3238 0.3238 0.4504  3 Ru 2.61-2.75
Zn 0.4766 0.4766 0.1082  1 Ru 2.63, 1 Zn 2.65
Zn 0.5234 0.5234 0.8918  1 Ru 2.63, 1 Zn 2.65
Zn 0.6762 0.6762 0.5496  3 Ru 2.61-2.75
Ru 0.3048 0.3048 0.6884  4 Zn 2.61-2.75, 2 Pm 2.88
Ru 0.6952 0.6952 0.3116  4 Zn 2.61-2.75, 2 Pm 2.88

Summary:
N(E_F) in states/eV per atom: 0.673
Formation enthalpy at 0 K in meV/atom: -312.0
SG: C2/m (12)


# 2
This record from Alexandria via LeMat-Bulk describes a relaxed structure of Bi2As2Pb. The functional is PBE-GGA.

abc: 4.1354 4.1354 29.6881
angles: 90.00 90.00 120.00
Closest atoms and distances in Å follow each position.
Atoms (fractional coordinates):
Bi 0.0000 0.0000 0.2111  3 As 2.91
Bi 0.0000 0.0000 0.7889  3 As 2.91
Bi 0.3333 0.6667 0.4556  3 As 2.91
Bi 0.3333 0.6667 0.8777  3 As 2.91
Bi 0.6667 0.3333 0.1223  3 As 2.91
Bi 0.6667 0.3333 0.5444  3 As 2.91
As 0.0000 0.0000 0.3994  3 Bi 2.91, 3 Pb 3.09
As 0.0000 0.0000 0.6006  3 Bi 2.91, 3 Pb 3.09
As 0.3333 0.6667 0.0661  3 Bi 2.91, 3 Pb 3.09
As 0.3333 0.6667 0.2673  3 Bi 2.91, 3 Pb 3.09
As 0.6667 0.3333 0.7327  3 Bi 2.91, 3 Pb 3.09
As 0.6667 0.3333 0.9339  3 Bi 2.91, 3 Pb 3.09
Pb 0.0000 0.0000 0.0000  6 As 3.09
Pb 0.3333 0.6667 0.6667  6 As 3.09
Pb 0.6667 0.3333 0.3333  6 As 3.09

Summary:
N(E_F) in states/eV per atom: 0.408
Formation enthalpy at 0 K in meV/atom: 41.0
SG: R-3m (166)


# 3
This record from Alexandria via LeMat-Bulk describes a relaxed structure of PaSnHgPt. The functional is PBE-GGA.

abc: 7.0798 7.0798 7.0798
angles: 90.00 90.00 90.00
Closest atoms and distances in Å follow each position.
Atoms (fractional coordinates):
Pa 0.0000 0.0000 0.0000  4 Pt 3.07, 4 Hg 3.07
Pa 0.0000 0.5000 0.5000  4 Pt 3.07, 4 Hg 3.07
Pa 0.5000 0.0000 0.5000  4 Pt 3.07, 4 Hg 3.07
Pa 0.5000 0.5000 0.0000  4 Pt 3.07, 4 Hg 3.07
Sn 0.0000 0.0000 0.5000  4 Hg 3.07, 4 Pt 3.07
Sn 0.0000 0.5000 0.0000  4 Hg 3.07, 4 Pt 3.07
Sn 0.5000 0.0000 0.0000  4 Hg 3.07, 4 Pt 3.07
Sn 0.5000 0.5000 0.5000  4 Hg 3.07, 4 Pt 3.07
Hg 0.2500 0.2500 0.7500  4 Pa 3.07, 4 Sn 3.07
Hg 0.2500 0.7500 0.2500  4 Sn 3.07, 4 Pa 3.07
Hg 0.7500 0.2500 0.2500  4 Sn 3.07, 4 Pa 3.07
Hg 0.7500 0.7500 0.7500  4 Sn 3.07, 4 Pa 3.07
Pt 0.2500 0.2500 0.2500  4 Sn 3.07, 4 Pa 3.07
Pt 0.2500 0.7500 0.7500  4 Sn 3.07, 4 Pa 3.07
Pt 0.7500 0.2500 0.7500  4 Sn 3.07, 4 Pa 3.07
Pt 0.7500 0.7500 0.2500  4 Sn 3.07, 4 Pa 3.07

Summary:
N(E_F) in states/eV per atom: 1.150
Formation enthalpy at 0 K in meV/atom: -372.9
SG: F-43m (216)


# 4
This record from Alexandria via LeMat-Bulk describes a relaxed structure of LiTh2Cd4In2. The functional is PBE-GGA.

abc: 6.8172 6.8172 6.8172
angles: 121.24 121.24 87.86
Closest atoms and distances in Å follow each position.
Atoms (fractional coordinates):
Li 0.0000 0.0000 0.0000  4 Cd 2.57, 2 In 2.68
Th 0.2500 0.7500 0.5000  4 In 3.35, 8 Cd 3.41
Th 0.7500 0.2500 0.5000  4 In 3.35, 8 Cd 3.41
Cd 0.2713 0.2713 0.5426  1 Li 2.57
Cd 0.2713 0.7287 0.0000  1 Li 2.57
Cd 0.7287 0.2713 0.0000  1 Li 2.57
Cd 0.7287 0.7287 0.4574  1 Li 2.57
In 0.2726 0.2726 0.0000  1 Li 2.68
In 0.7274 0.7274 0.0000  1 Li 2.68

Summary:
N(E_F) in states/eV per atom: 0.530
Formation enthalpy at 0 K in meV/atom: -193.3
SG: I4/mmm (139)


# 5
This record from Alexandria via LeMat-Bulk describes a relaxed structure of SbAu2. The functional is PBE-GGA.

abc: 4.8819 4.8601 6.0579
angles: 90.00 92.30 90.00
Closest atoms and distances in Å follow each position.
Atoms (fractional coordinates):
Sb 0.1561 0.2500 0.3145  5 Au 2.76-2.89
Sb 0.8439 0.7500 0.6855  5 Au 2.76-2.89
Au 0.1061 0.2500 0.7800  3 Sb 2.80-2.84, 4 Au 2.87-3.07
Au 0.3709 0.7500 0.9207  2 Sb 2.76-2.89, 6 Au 2.87-3.07
Au 0.6291 0.2500 0.0793  2 Sb 2.76-2.89, 6 Au 2.87-3.07
Au 0.8939 0.7500 0.2200  3 Sb 2.80-2.84, 4 Au 2.87-3.07

Summary:
N(E_F) in states/eV per atom: 0.359
SG: P2_1/m (11)
Formation energy (no corrections) in meV/atom: 4


# 6
This record from Alexandria via LeMat-Bulk describes a relaxed structure of TbMgIn2Te4. The functional is PBE-GGA.

abc: 7.6093 4.3845 8.0285
angles: 90.00 108.62 90.00
Closest atoms and distances in Å follow each position.
Atoms (fractional coordinates):
Tb 0.0000 0.0000 0.0000  6 Te 3.09-3.10
Mg 0.5000 0.5000 0.0000  6 Te 3.02-3.08
In 0.0000 0.5000 0.5000  6 Te 3.28-3.31
In 0.5000 0.0000 0.5000  6 Te 3.25-3.26
Te 0.2456 0.5000 0.2307  1 Mg 3.08, 2 Tb 3.09, 3 In 3.25-3.28
Te 0.2663 0.0000 0.7769  2 Mg 3.02, 1 Tb 3.10, 3 In 3.26-3.31
Te 0.7337 0.0000 0.2231  2 Mg 3.02, 1 Tb 3.10, 3 In 3.26-3.31
Te 0.7544 0.5000 0.7693  1 Mg 3.08, 2 Tb 3.09, 3 In 3.25-3.28

Summary:
N(E_F) in states/eV per atom: 0.408
SG: P2/m (10)
Formation energy (no corrections) in meV/atom: -719


# 7
This record from Alexandria via LeMat-Bulk describes a relaxed structure of Ca2BePdO4. The functional is PBE-GGA.

abc: 5.7291 5.7291 5.8742
angles: 90.00 90.00 90.00
Closest atoms and distances in Å follow each position.
Atoms (fractional coordinates):
Ca 0.0000 0.0000 0.0000  4 O 2.34
Ca 0.0000 0.5000 0.2500  4 O 2.28
Ca 0.5000 0.0000 0.7500  4 O 2.28
Ca 0.5000 0.5000 0.5000  4 O 2.34
Be 0.0000 0.0000 0.5000  4 O 1.70
Be 0.5000 0.5000 0.0000  4 O 1.70
Pd 0.0000 0.5000 0.7500  4 O 2.08
Pd 0.5000 0.0000 0.2500  4 O 2.08
O 0.1529 0.1803 0.6742  1 Be 1.70
O 0.1803 0.8471 0.3258  1 Be 1.70
O 0.3197 0.6529 0.8258  1 Be 1.70
O 0.3471 0.3197 0.1742  1 Be 1.70
O 0.6529 0.6803 0.1742  1 Be 1.70
O 0.6803 0.3471 0.8258  1 Be 1.70
O 0.8197 0.1529 0.3258  1 Be 1.70
O 0.8471 0.8197 0.6742  1 Be 1.70

Summary:
SG: I-4 (82)
Formation energy (no corrections) in meV/atom: -2080


# 8
This record from Alexandria via LeMat-Bulk describes a relaxed structure of Si2TcP. The functional is PBE-GGA.

abc: 8.3419 3.0614 4.2881
angles: 90.00 94.76 90.00
Closest atoms and distances in Å follow each position.
Atoms (fractional coordinates):
Si 0.0000 0.0000 0.0000  1 Si 2.33, 1 Tc 2.48, 2 P 2.59
Si 0.2360 0.0000 0.7454  1 P 2.33, 1 Si 2.33
Si 0.5000 0.5000 0.0000  1 Si 2.33, 1 Tc 2.48, 2 P 2.59
Si 0.7360 0.5000 0.7454  1 P 2.33, 1 Si 2.33
Tc 0.2394 0.5000 0.2412  7 Si 2.48-2.66, 3 P 2.56-2.58
Tc 0.7394 0.0000 0.2412  7 Si 2.48-2.66, 3 P 2.56-2.58
P 0.4674 0.0000 0.4772  3 Si 2.33-2.59, 3 Tc 2.56-2.58
P 0.9674 0.5000 0.4772  3 Si 2.33-2.59, 3 Tc 2.56-2.58

Summary:
N(E_F) in states/eV per atom: 0.385
SG: Cm (8)
Formation energy (no corrections) in meV/atom: -5


# 9
This record from Alexandria via LeMat-Bulk describes a relaxed structure of CaLaSc2Ni. The functional is PBE-GGA.

abc: 5.4432 5.4432 4.8029
angles: 90.00 90.00 90.00
Closest atoms and distances in Å follow each position.
Atoms (fractional coordinates):
Ca 0.0000 0.0000 0.0000  8 Sc 3.63, 4 Ni 3.85
La 0.5000 0.5000 0.5000  2 Ni 2.40
Sc 0.0000 0.5000 0.5000  2 La 2.72
Sc 0.5000 0.0000 0.5000  2 La 2.72
Ni 0.5000 0.5000 0.0000  2 La 2.40

Summary:
N(E_F) in states/eV per atom: 0.737
Formation enthalpy at 0 K in meV/atom: 662.3
SG: P4/mmm (123)


# 10
This record from Alexandria via LeMat-Bulk describes a relaxed structure of YAl2Ni2. The functional is PBE-GGA.

abc: 7.4856 7.4856 2.7380
angles: 90.00 90.00 90.00
Closest atoms and distances in Å follow each position.
Atoms (fractional coordinates):
Y 0.0000 0.0000 0.0000  2 Y 2.74, 4 Al 2.96
Y 0.5000 0.5000 0.0000  2 Y 2.74, 4 Al 2.96
Al 0.1251 0.3749 0.0000  6 Ni 2.59-2.60, 3 Al 2.65-2.74
Al 0.3749 0.8749 0.0000  6 Ni 2.59-2.60, 3 Al 2.65-2.74
Al 0.6251 0.1251 0.0000  6 Ni 2.59-2.60, 3 Al 2.65-2.74
Al 0.8749 0.6251 0.0000  6 Ni 2.59-2.60, 3 Al 2.65-2.74
Ni 0.1678 0.6678 0.5000  6 Al 2.59-2.60, 2 Ni 2.74
Ni 0.3322 0.1678 0.5000  6 Al 2.59-2.60, 2 Ni 2.74
Ni 0.6678 0.8322 0.5000  6 Al 2.59-2.60, 2 Ni 2.74
Ni 0.8322 0.3322 0.5000  6 Al 2.59-2.60, 2 Ni 2.74

Summary:
N(E_F) in states/eV per atom: 0.708
Formation enthalpy at 0 K in meV/atom: -390.1
SG: P4/mbm (127)


# 11
This record from Alexandria via LeMat-Bulk describes a relaxed structure of CaEr2ThBi4. The functional is PBE-GGA.

abc: 7.8237 4.5423 7.8441
angles: 90.00 109.28 90.00
Closest atoms and distances in Å follow each position.
Atoms (fractional coordinates):
Ca 0.0000 0.0000 0.0000  6 Bi 3.23-3.25
Er 0.0000 0.5000 0.5000  6 Bi 3.16-3.17
Er 0.5000 0.0000 0.5000  6 Bi 3.16-3.17
Th 0.5000 0.5000 0.0000  6 Bi 3.23-3.25
Bi 0.2462 0.0000 0.7410  3 Er 3.16-3.17, 1 Ca 3.23, 2 Th 3.25
Bi 0.2542 0.5000 0.2589  3 Er 3.16-3.17, 1 Th 3.23, 2 Ca 3.25
Bi 0.7458 0.5000 0.7411  3 Er 3.16-3.17, 1 Th 3.23, 2 Ca 3.25
Bi 0.7538 0.0000 0.2590  3 Er 3.16-3.17, 1 Ca 3.23, 2 Th 3.25

Summary:
N(E_F) in states/eV per atom: 0.164
Formation enthalpy at 0 K in meV/atom: -768.7
SG: P2/m (10)


# 12
This record from Alexandria via LeMat-Bulk describes a relaxed structure of MnNbCl2. The functional is PBE-GGA.

abc: 3.1407 3.1407 28.5459
angles: 90.00 90.00 120.00
Closest atoms and distances in Å follow each position.
Atoms (fractional coordinates):
Mn 0.0000 0.0000 0.0000  2 Cl 2.95, 6 Mn 3.14
Mn 0.3333 0.6667 0.6667  2 Cl 2.95, 6 Mn 3.14
Mn 0.6667 0.3333 0.3333  2 Cl 2.95, 6 Mn 3.14
Nb 0.0000 0.0000 0.5000  6 Cl 2.56
Nb 0.3333 0.6667 0.1667  6 Cl 2.56
Nb 0.6667 0.3333 0.8333  6 Cl 2.56
Cl 0.0000 0.0000 0.1034  3 Nb 2.56
Cl 0.0000 0.0000 0.8966  3 Nb 2.56
Cl 0.3333 0.6667 0.5633  3 Nb 2.56
Cl 0.3333 0.6667 0.7700  3 Nb 2.56
Cl 0.6667 0.3333 0.2300  3 Nb 2.56
Cl 0.6667 0.3333 0.4367  3 Nb 2.56

Summary:
N(E_F) in states/eV per atom: 0.716
SG: R-3m (166)
Formation energy (no corrections) in meV/atom: -227